Entry 1:
Compound: KMoRh
Source: Alexandria
Functional: PBE-GGA
Structure: optimized geometry

* crystal system: cubic
* total magnetic moment: 0.0 μB/cell
* DFT formation energy: 1.539 eV/atom
* offset from the most stable computed form: 0.856 eV/atom
* SG: F-43m

Cell lengths 4.4482, 4.4482, 4.4482 Å; angles 60.00, 60.00, 60.00 degrees
Last column: nearest neighbours and their distance in Å.
Fractional coordinates of all 3 atoms:
K 0.0000 0.0000 0.0000  4 Mo 2.72
Mo 0.7500 0.7500 0.7500  4 Rh 2.72, 4 K 2.72
Rh 0.5000 0.5000 0.5000  4 Mo 2.72


Entry 2:
Compound: Ba2ScAs
Source: Alexandria
Functional: PBE-GGA
Structure: optimized geometry

* crystal system: trigonal
* total magnetic moment: 2.1 μB/cell
* DFT formation energy: -0.157 eV/atom
* SG: R-3m

Cell lengths 10.2799, 10.2799, 10.2799 Å; angles 25.32, 25.32, 25.32 degrees
Last column: nearest neighbours and their distance in Å.
Fractional coordinates of all 4 atoms:
Ba 0.2288 0.2288 0.2288  3 As 3.19
Ba 0.7712 0.7712 0.7712  3 As 3.19
Sc 0.0000 0.0000 0.0000  6 Ba 4.06, 6 Sc 4.51
As 0.5000 0.5000 0.5000  6 Ba 3.19


Entry 3:
Compound: TbSm2TmMg
Source: Alexandria
Functional: PBE-GGA
Structure: optimized geometry

* crystal system: orthorhombic
* total magnetic moment: 0.0 μB/cell
* DFT formation energy: 0.179 eV/atom
* SG: Pmma

Cell lengths 5.9332, 7.7012, 6.8848 Å; angles 90.00, 90.00, 90.00 degrees
Last column: nearest neighbours and their distance in Å.
Fractional coordinates of all 10 atoms:
Tb 0.2500 0.0000 0.1088  2 Mg 3.07, 2 Sm 3.10, 2 Tb 3.32
Tb 0.7500 0.0000 0.8912  2 Mg 3.07, 2 Sm 3.10, 2 Tb 3.32
Sm 0.2500 0.2913 0.7990  1 Tb 3.10, 1 Sm 3.21, 2 Mg 3.39
Sm 0.2500 0.7087 0.7990  1 Tb 3.10, 1 Sm 3.21, 2 Mg 3.39
Sm 0.7500 0.2913 0.2010  1 Tb 3.10, 1 Sm 3.21, 2 Mg 3.39
Sm 0.7500 0.7087 0.2010  1 Tb 3.10, 1 Sm 3.21, 2 Mg 3.39
Tm 0.2500 0.5000 0.3368  6 Sm 3.50-3.57, 2 Tm 3.72
Tm 0.7500 0.5000 0.6632  6 Sm 3.50-3.57, 2 Tm 3.72
Mg 0.0000 0.0000 0.5000  2 Mg 2.97, 2 Tb 3.07
Mg 0.5000 0.0000 0.5000  2 Mg 2.97, 2 Tb 3.07


Entry 4:
Compound: NdZn4Pd4
Source: Alexandria
Functional: PBE-GGA
Structure: optimized geometry

* crystal system: tetragonal
* total magnetic moment: 0.0 μB/cell
* DFT formation energy: -0.428 eV/atom
* SG: P4_2/n

Cell lengths 8.2240, 8.2240, 4.7634 Å; angles 90.00, 90.00, 90.00 degrees
Last column: nearest neighbours and their distance in Å.
Fractional coordinates of all 18 atoms:
Nd 0.2500 0.2500 0.2500  4 Pd 3.04, 8 Zn 3.33-3.34
Nd 0.7500 0.7500 0.7500  4 Pd 3.04, 8 Zn 3.33-3.34
Zn 0.0021 0.8820 0.2483  5 Pd 2.51-2.73
Zn 0.1180 0.5021 0.7483  5 Pd 2.51-2.73
Zn 0.3820 0.9979 0.7483  5 Pd 2.51-2.73
Zn 0.4979 0.6180 0.2483  5 Pd 2.51-2.73
Zn 0.5021 0.3820 0.7517  5 Pd 2.51-2.73
Zn 0.6180 0.0021 0.2517  5 Pd 2.51-2.73
Zn 0.8820 0.4979 0.2517  5 Pd 2.51-2.73
Zn 0.9979 0.1180 0.7517  5 Pd 2.51-2.73
Pd 0.1094 0.8343 0.7480  5 Zn 2.51-2.73, 1 Pd 2.70
Pd 0.1657 0.6094 0.2480  5 Zn 2.51-2.73, 1 Pd 2.70
Pd 0.3343 0.8906 0.2480  5 Zn 2.51-2.73, 1 Pd 2.70
Pd 0.3906 0.6657 0.7480  5 Zn 2.51-2.73, 1 Pd 2.70
Pd 0.6094 0.3343 0.2520  5 Zn 2.51-2.73, 1 Pd 2.70
Pd 0.6657 0.1094 0.7520  5 Zn 2.51-2.73, 1 Pd 2.70
Pd 0.8343 0.3906 0.7520  5 Zn 2.51-2.73, 1 Pd 2.70
Pd 0.8906 0.1657 0.2520  5 Zn 2.51-2.73, 1 Pd 2.70


Entry 5:
Compound: TbNd2Sm4Sc
Source: Alexandria
Functional: PBE-GGA
Structure: optimized geometry

* crystal system: monoclinic
* total magnetic moment: 0.0 μB/cell
* DFT formation energy: 0.030 eV/atom
* SG: P2/m

Cell lengths 5.0736, 5.0820, 10.1265 Å; angles 90.00, 90.04, 90.00 degrees
Last column: nearest neighbours and their distance in Å.
Fractional coordinates of all 8 atoms:
Tb 0.0000 0.0000 0.0000  4 Nd 3.59, 8 Sm 3.62
Nd 0.0000 0.0000 0.5000  8 Sm 3.55, 4 Sc 3.59
Nd 0.5000 0.5000 0.0000  4 Tb 3.59, 8 Sm 3.62
Sm 0.0004 0.5000 0.2553  2 Sc 3.54-3.55, 4 Nd 3.55-3.62, 4 Sm 3.59, 2 Tb 3.62
Sm 0.9996 0.5000 0.7447  2 Sc 3.54-3.55, 4 Nd 3.55-3.62, 4 Sm 3.59, 2 Tb 3.62
Sm 0.5001 0.0000 0.2547  4 Nd 3.55-3.62, 2 Sc 3.55, 4 Sm 3.59, 2 Tb 3.62
Sm 0.4999 0.0000 0.7453  4 Nd 3.55-3.62, 2 Sc 3.55, 4 Sm 3.59, 2 Tb 3.62
Sc 0.5000 0.5000 0.5000  8 Sm 3.54-3.55, 4 Nd 3.59


Entry 6:
Compound: Li4In5Au
Source: Alexandria
Functional: PBE-GGA
Structure: optimized geometry

* crystal system: monoclinic
* total magnetic moment: 0.0 μB/cell
* DFT formation energy: -0.274 eV/atom
* offset from the most stable computed form: 0.000 eV/atom
* SG: C2/m

Cell lengths 7.9921, 7.9921, 6.0777 Å; angles 101.86, 101.86, 32.07 degrees
Last column: nearest neighbours and their distance in Å.
Fractional coordinates of all 10 atoms:
Li 0.0930 0.0930 0.3182  8 In 2.90-3.18, 2 Au 3.08, 2 Li 3.12
Li 0.3049 0.3049 0.8877  7 In 2.91-3.06, 1 Au 2.93, 4 Li 3.12-3.25
Li 0.6951 0.6951 0.1123  7 In 2.91-3.06, 1 Au 2.93, 4 Li 3.12-3.25
Li 0.9070 0.9070 0.6818  8 In 2.90-3.18, 2 Au 3.08, 2 Li 3.12
In 0.1037 0.1037 0.8473  6 Li 2.90-3.18, 2 Au 2.98, 4 In 3.21-3.23
In 0.2919 0.2919 0.3786  7 Li 2.95-3.16, 5 In 3.09-3.21
In 0.5000 0.5000 0.5000  4 Li 2.97, 2 Au 3.04, 6 In 3.12-3.23
In 0.7081 0.7081 0.6214  7 Li 2.95-3.16, 5 In 3.09-3.21
In 0.8963 0.8963 0.1527  6 Li 2.90-3.18, 2 Au 2.98, 4 In 3.21-3.23
Au 0.5000 0.5000 0.0000  6 Li 2.93-3.08, 6 In 2.98-3.04


Entry 7:
Compound: KRb2TiI6
Source: Alexandria
Functional: PBE-GGA
Structure: optimized geometry

* formation energy (no corrections): -1165 meV per atom
* crystal system: trigonal
* total magnetic moment: 1.0 μB/cell
* SG: R-3

Cell lengths 8.5164, 8.5164, 8.5164 Å; angles 62.93, 62.93, 62.93 degrees
Last column: nearest neighbours and their distance in Å.
Fractional coordinates of all 10 atoms:
K 0.0000 0.0000 0.0000  6 I 3.51
Rb 0.2681 0.2681 0.2681  6 I 3.72-3.88
Rb 0.7319 0.7319 0.7319  6 I 3.72-3.88
Ti 0.5000 0.5000 0.5000  6 I 2.84
I 0.1911 0.7060 0.3636  1 Ti 2.84
I 0.2940 0.6364 0.8089  1 Ti 2.84
I 0.3636 0.1911 0.7060  1 Ti 2.84
I 0.6364 0.8089 0.2940  1 Ti 2.84
I 0.7060 0.3636 0.1911  1 Ti 2.84
I 0.8089 0.2940 0.6364  1 Ti 2.84


Entry 8:
Compound: Sc3CrPb
Source: Alexandria
Functional: PBE-GGA
Structure: optimized geometry

* crystal system: cubic
* total magnetic moment: 6.7 μB/cell
* DFT formation energy: 0.851 eV/atom
* offset from the most stable computed form: 0.592 eV/atom
* SG: Pm-3m

Cell lengths 5.4081, 5.4081, 5.4081 Å; angles 90.00, 90.00, 90.00 degrees
Last column: nearest neighbours and their distance in Å.
Fractional coordinates of all 5 atoms:
Sc 0.0000 0.0000 0.5000  2 Pb 2.70
Sc 0.0000 0.5000 0.0000  2 Pb 2.70
Sc 0.5000 0.0000 0.0000  2 Pb 2.70
Cr 0.5000 0.5000 0.5000  12 Sc 3.82
Pb 0.0000 0.0000 0.0000  6 Sc 2.70


no.,final energy (eV/cell)
1,-14.664
2,-15.456
3,-38.482
4,-68.981
5,-39.131
6,-27.361
7,-31.874
8,-28.072